Mg2TlAs: optimized geometry, PBE-GGA.

Results
* E above lowest polymorph: 0.185 eV/f.u.
* spin magnetization: 0.00 μB/cell
* volume: 25.1 Å³/atom
* E_form: -0.24 eV/atom

a = 7.0736 Å, b = 4.0941 Å, c = 7.3503 Å
α = 90.00°, β = 109.50°, γ = 90.00°
Space group C2/m (No. 12)
Unique sites:
1 Mg 0.2290 0.0000 0.1800
2 Tl 0.0000 0.0000 0.5000
3 As 0.0000 0.5000 0.0000